Zn2CdAu4 | PBE | optimized geometry

Properties
SG ... No. 63
Formation energy from the elements ... -0.119 eV/atom
Total moment ... 0.000 μB/atom

Cell lengths 4.614, 4.614, 13.624 Å; angles 90.00, 90.00, 119.86 degrees
Fractional positions:
Zn: 0.834 0.166 0.557
Zn: 0.166 0.834 0.057
Zn: 0.834 0.166 0.943
Zn: 0.166 0.834 0.443
Cd: 0.499 0.501 0.250
Cd: 0.501 0.499 0.750
Au: 0.168 0.832 0.864
Au: 0.168 0.832 0.636
Au: 0.832 0.168 0.136
Au: 0.832 0.168 0.364
Au: 0.165 0.835 0.250
Au: 0.835 0.165 0.750
Au: 0.500 0.500 0.000
Au: 0.500 0.500 0.500